Here is an optimized crystal structure of MoRuBr2 from Alexandria. Energies are from PBE-GGA.

The structure in CIF format:
```
data_MoRuBr2
_chemical_formula_sum 'Mo1 Ru1 Br2'
_cell_length_a 3.753
_cell_length_b 3.760
_cell_length_c 7.129
_cell_angle_alpha 100.10
_cell_angle_beta 97.01
_cell_angle_gamma 115.36
_space_group_name_H-M_alt 'P 1'
_space_group_IT_number 1
_space_group_name_Hall 'P 1'
loop_
_atom_site_label
_atom_site_type_symbol
_atom_site_fract_x
_atom_site_fract_y
_atom_site_fract_z
Mo1 Mo 0.000 0.000 0.000
Ru1 Ru 0.755 0.394 0.151
Br1 Br 0.235 0.521 0.755
Br2 Br 0.400 0.977 0.381
```

E	-5.722	eV per atom
ΔE to the lowest computed polymorph	127	meV per atom
formation energy (no corrections)	0.14	eV per atom